{
  "formula": "CuSiCl2",
  "functional": "GGA-PBE",
  "state": "optimized geometry",
  "cell": [[-1.771, -1.281, -2.592], [3.056, -1.196, 0.851], [-3.435, -5.257, 4.944]],
  "species": ["Cl", "Cl", "Cu", "Si"],
  "fractional_positions": [[0.000, 0.000, 0.039], [0.000, 0.000, 0.461], [0.500, 0.500, 0.250], [0.500, 0.500, 0.750]],
  "energy_ev_per_atom": -3.23,
  "relative_energy_ev_per_fu": 1.54,
  "volume_a3_per_cell": 77.9,
  "space_group": "Cmmm, No. 65",
  "total_magnetization_mub_per_fu": 0.0,
  "e_form_raw_ev_per_atom": 0.07
}